GGA-PBE Cr2Ni9W, relaxed; formation energy from the elements = -0.010 eV/atom; SG = P4/mmm, No. 123; N(E_F) = 9.8 states/eV/cell
1.0
3.597 0.000 0.000
0.000 3.597 0.000
0.000 0.000 10.753
Cr Ni W
2 9 1
Cartesian
0.000 0.000 1.715
0.000 0.000 9.037
0.000 1.799 0.000
0.000 1.799 3.587
0.000 1.799 7.166
1.799 0.000 0.000
1.799 0.000 3.587
1.799 0.000 7.166
1.799 1.799 1.796
1.799 1.799 5.376
1.799 1.799 8.956
0.000 0.000 5.376


GGA-PBE GeW3Br, relaxed; SG = Pm-3m, No. 221; raw formation energy = 2.1922 eV/atom; relative energy among the computed polymorphs = 0 meV/atom; N(E_F) = 5.6 states/eV/cell
1.0
4.701 0.000 0.000
0.000 4.701 0.000
0.000 0.000 4.701
Ge W Br
1 3 1
Cartesian
0.000 0.000 0.000
0.000 0.000 2.351
0.000 2.351 0.000
2.351 0.000 0.000
2.351 2.351 2.351


Q: The highest N(E_F) belongs to which entry?
A: Cr2Ni9W


Repeat the first record exactly.
GGA-PBE Cr2Ni9W, relaxed; formation energy from the elements = -0.010 eV/atom; SG = P4/mmm, No. 123; N(E_F) = 9.8 states/eV/cell
1.0
3.597 0.000 0.000
0.000 3.597 0.000
0.000 0.000 10.753
Cr Ni W
2 9 1
Cartesian
0.000 0.000 1.715
0.000 0.000 9.037
0.000 1.799 0.000
0.000 1.799 3.587
0.000 1.799 7.166
1.799 0.000 0.000
1.799 0.000 3.587
1.799 0.000 7.166
1.799 1.799 1.796
1.799 1.799 5.376
1.799 1.799 8.956
0.000 0.000 5.376